Material: Tb7PrTm12
Method: DFT, GGA-PBE
State: optimized geometry

a b c (Å): 9.6530 9.6530 9.6530
angles (deg): 109.47 109.47 109.47
Sites, in units of the cell vectors:
Tb1 0.5000 0.5000 0.0000
Tb2 0.0000 0.5000 0.5000
Tb3 0.5000 0.0000 0.5000
Tb4 0.5000 0.5000 0.5000
Tb5 0.0000 0.0000 0.5000
Tb6 0.5000 0.0000 0.0000
Tb7 0.0000 0.5000 0.0000
Pr1 0.0000 0.0000 0.0000
Tm1 0.4904 0.7453 0.7451
Tm2 0.0002 0.7453 0.2549
Tm3 0.5096 0.2547 0.2549
Tm4 0.9998 0.2547 0.7451
Tm5 0.7451 0.9998 0.2547
Tm6 0.7451 0.4904 0.7453
Tm7 0.2549 0.0002 0.7453
Tm8 0.2549 0.5096 0.2547
Tm9 0.7453 0.7451 0.4904
Tm10 0.2547 0.2549 0.5096
Tm11 0.7453 0.2549 0.0002
Tm12 0.2547 0.7451 0.9998

Output
offset from the most stable computed form = 402 meV/atom
ΔH_f (0 K) = 0.7138 eV per atom
electronic total energy = -76.6 eV for the cell shown